# 1
# CaBe2P

A relaxed structure of CaBe2P (PBE-GGA, the Alexandria database).

Lattice parameters (Å, degrees): 4.8305 4.8305 4.8305 137.05 106.95 88.65
Positions (direct):
Ca: 0.0000 0.0000 0.0000
Be: 0.3364 0.8364 0.5000
Be: 0.6636 0.1636 0.5000
P: 0.5000 0.5000 0.0000

Properties
For the density of states at the Fermi level, the calculation gives 2.736 states/eV per cell. For the formation enthalpy at 0 K, the calculation gives 209 meV/atom. The calculation puts the calculated total energy at -3.51 eV per atom.


# 2
# CaBe2P

A relaxed structure of CaBe2P (PBE-GGA, the Alexandria database).

Lattice parameters (Å, degrees): 5.7182 5.7182 5.7182 103.71 103.71 121.73
Positions (direct):
Ca: 0.0000 0.0000 0.0000
Ca: 0.7500 0.2500 0.5000
Be: 0.2214 0.6250 0.0964
Be: 0.3750 0.4714 0.5964
Be: 0.5286 0.1250 0.9036
Be: 0.8750 0.7786 0.4036
P: 0.2500 0.7500 0.5000
P: 0.5000 0.5000 0.0000

Properties
For the density of states at the Fermi level, the calculation gives 6.771 states/eV per cell. For the formation enthalpy at 0 K, the calculation gives 80 meV/atom. The calculation puts the calculated total energy at -3.64 eV per atom.